No. 1
# LiSbPb

An optimized crystal structure of LiSbPb (PBE, Alexandria).

Computed properties:
The excess energy over the best structure of this formula in the dataset comes out at 0.0 meV/atom. The calculation puts the final energy at -3.554 eV/atom. As for the space group: No. 129.

a b c (Å): 4.726 4.726 7.024
angles (deg): 90.00 90.00 90.00
Sites, in units of the cell vectors:
Li 0.250 0.750 0.000
Li 0.750 0.250 0.000
Sb 0.250 0.250 0.238
Sb 0.750 0.750 0.762
Pb 0.250 0.250 0.678
Pb 0.750 0.750 0.322

---

No. 2
# LiSb2Pb

An optimized crystal structure of LiSb2Pb (PBE, Alexandria).

Computed properties:
The calculation puts the final energy at -3.561 eV/atom. As for the space group: No. 139.

a b c (Å): 5.798 5.798 5.798
angles (deg): 131.34 131.34 71.28
Sites, in units of the cell vectors:
Li 0.000 0.000 0.000
Sb 0.250 0.750 0.500
Sb 0.750 0.250 0.500
Pb 0.500 0.500 0.000

---

No. 3
# Li2SbPb2

An optimized crystal structure of Li2SbPb2 (PBE, Alexandria).

Computed properties:
The excess energy over the best structure of this formula in the dataset comes out at 0.0 meV/atom. The calculation puts the final energy at -3.284 eV/atom. As for the space group: No. 127.

a b c (Å): 7.203 7.203 4.681
angles (deg): 90.00 90.00 90.00
Sites, in units of the cell vectors:
Li 0.142 0.358 0.000
Li 0.358 0.858 0.000
Li 0.642 0.142 0.000
Li 0.858 0.642 0.000
Sb 0.000 0.000 0.000
Sb 0.500 0.500 0.000
Pb 0.168 0.668 0.500
Pb 0.332 0.168 0.500
Pb 0.668 0.832 0.500
Pb 0.832 0.332 0.500

---

No. 4
# Li2Sb2Pb

An optimized crystal structure of Li2Sb2Pb (PBE, Alexandria).

Computed properties:
The excess energy over the best structure of this formula in the dataset comes out at 57.3 meV/atom. The calculation puts the final energy at -3.411 eV/atom. As for the space group: No. 139.

a b c (Å): 6.713 6.713 6.713
angles (deg): 139.66 139.66 58.37
Sites, in units of the cell vectors:
Li 0.250 0.750 0.500
Li 0.750 0.250 0.500
Sb 0.120 0.120 0.000
Sb 0.880 0.880 0.000
Pb 0.500 0.500 0.000

---

No. 5
# LiSbPb

An optimized crystal structure of LiSbPb (PBE, Alexandria).

Computed properties:
The excess energy over the best structure of this formula in the dataset comes out at 123.3 meV/atom. The calculation puts the final energy at -3.431 eV/atom. As for the space group: No. 216.

a b c (Å): 5.145 5.145 5.145
angles (deg): 60.00 60.00 60.00
Sites, in units of the cell vectors:
Li 0.000 0.000 0.000
Sb 0.250 0.250 0.250
Pb 0.500 0.500 0.500

---

No. 6
# Li2Sb2Pb

An optimized crystal structure of Li2Sb2Pb (PBE, Alexandria).

Computed properties:
The excess energy over the best structure of this formula in the dataset comes out at 0.0 meV/atom. The calculation puts the final energy at -3.469 eV/atom. As for the space group: No. 127.

a b c (Å): 8.746 8.746 3.192
angles (deg): 90.00 90.00 90.00
Sites, in units of the cell vectors:
Li 0.125 0.375 0.000
Li 0.375 0.875 0.000
Li 0.625 0.125 0.000
Li 0.875 0.625 0.000
Sb 0.168 0.668 0.500
Sb 0.332 0.168 0.500
Sb 0.668 0.832 0.500
Sb 0.832 0.332 0.500
Pb 0.000 0.000 0.500
Pb 0.500 0.500 0.500

---

No. 7
# LiSb2Pb

An optimized crystal structure of LiSb2Pb (PBE, Alexandria).

Computed properties:
The calculation puts the final energy at -3.541 eV/atom. As for the space group: No. 6.

a b c (Å): 3.317 4.827 7.059
angles (deg): 90.00 94.36 90.00
Sites, in units of the cell vectors:
Li 0.000 0.000 0.000
Sb 0.427 0.000 0.637
Sb 0.494 0.500 0.976
Pb 0.793 0.500 0.404

---

No. 8
# Li5Sb3Pb2

An optimized crystal structure of Li5Sb3Pb2 (PBE, Alexandria).

Computed properties:
The calculation puts the final energy at -3.259 eV/atom. As for the space group: No. 15.

a b c (Å): 9.333 9.333 6.236
angles (deg): 109.43 109.43 80.94
Sites, in units of the cell vectors:
Li 0.000 0.000 0.250
Li 0.000 0.000 0.750
Li 0.253 0.428 0.842
Li 0.267 0.733 0.750
Li 0.268 0.732 0.250
Li 0.428 0.253 0.342
Li 0.572 0.747 0.658
Li 0.732 0.268 0.750
Li 0.733 0.267 0.250
Li 0.747 0.572 0.158
Sb 0.006 0.721 0.363
Sb 0.279 0.994 0.137
Sb 0.499 0.501 0.750
Sb 0.501 0.499 0.250
Sb 0.721 0.006 0.863
Sb 0.994 0.279 0.637
Pb 0.090 0.361 0.226
Pb 0.361 0.090 0.726
Pb 0.639 0.910 0.274
Pb 0.910 0.639 0.774

---

The highest final energy belongs to which entry? Li5Sb3Pb2

---

Which of these has the lowest final energy? number 2

---

The highest final energy belongs to which entry? Li5Sb3Pb2

---

What is the final energy in the first record? -3.554 eV/atom